Record 1
Compound: PrGd2Zr
Source: Alexandria
Functional: PBE-GGA
Structure: relaxed

Lattice parameters (Å, degrees): 7.8925 7.8925 7.8925 90.00 90.00 90.00
Fractional positions:
Pr 0.0000 0.0000 0.0000
Pr 0.0000 0.5000 0.5000
Pr 0.5000 0.0000 0.5000
Pr 0.5000 0.5000 0.0000
Gd 0.2500 0.2500 0.2500
Gd 0.2500 0.2500 0.7500
Gd 0.2500 0.7500 0.2500
Gd 0.2500 0.7500 0.7500
Gd 0.7500 0.2500 0.2500
Gd 0.7500 0.2500 0.7500
Gd 0.7500 0.7500 0.2500
Gd 0.7500 0.7500 0.7500
Zr 0.0000 0.0000 0.5000
Zr 0.0000 0.5000 0.0000
Zr 0.5000 0.0000 0.0000
Zr 0.5000 0.5000 0.5000

Output
Fermi-level density of states	22.55	states/eV per cell
polymorph energy (0 for the lowest one)	130.0	meV/atom


Record 2
Compound: PrGd2Zr
Source: Alexandria
Functional: PBE-GGA
Structure: relaxed

Lattice parameters (Å, degrees): 3.4082 3.4082 36.5713 90.00 90.00 120.00
Fractional positions:
Pr 0.0000 0.0000 0.0000
Pr 0.3333 0.6667 0.6667
Pr 0.6667 0.3333 0.3333
Gd 0.0000 0.0000 0.4157
Gd 0.0000 0.0000 0.5843
Gd 0.3333 0.6667 0.0824
Gd 0.3333 0.6667 0.2510
Gd 0.6667 0.3333 0.7490
Gd 0.6667 0.3333 0.9176
Zr 0.0000 0.0000 0.5000
Zr 0.3333 0.6667 0.1667
Zr 0.6667 0.3333 0.8333

Output
Fermi-level density of states	18.41	states/eV per cell
polymorph energy (0 for the lowest one)	248.9	meV/atom


Record 3
Compound: PrGdZr2
Source: Alexandria
Functional: PBE-GGA
Structure: relaxed

Lattice parameters (Å, degrees): 4.7437 4.7437 4.9130 90.00 90.00 90.00
Fractional positions:
Pr 0.0000 0.0000 0.0000
Gd 0.5000 0.5000 0.0000
Zr 0.0000 0.5000 0.5000
Zr 0.5000 0.0000 0.5000

Output
Fermi-level density of states	4.89	states/eV per cell


Record 4
Compound: GdPt3
Source: Alexandria
Functional: PBE-GGA
Structure: relaxed

Lattice parameters (Å, degrees): 4.1416 4.1416 4.1416 90.00 90.00 90.00
Fractional positions:
Gd 0.0000 0.0000 0.0000
Pt 0.0000 0.5000 0.5000
Pt 0.5000 0.0000 0.5000
Pt 0.5000 0.5000 0.0000

Output
Fermi-level density of states	3.83	states/eV per cell


Record 5
Compound: GdPt2
Source: Alexandria
Functional: PBE-GGA
Structure: relaxed

Lattice parameters (Å, degrees): 3.6226 3.6226 9.0578 90.00 90.00 90.00
Fractional positions:
Gd 0.0000 0.0000 0.0000
Gd 0.5000 0.5000 0.5000
Pt 0.0000 0.0000 0.3324
Pt 0.0000 0.0000 0.6676
Pt 0.5000 0.5000 0.1676
Pt 0.5000 0.5000 0.8324

Output
Fermi-level density of states	4.26	states/eV per cell


Record 6
Compound: GdPt5
Source: Alexandria
Functional: PBE-GGA
Structure: relaxed

Lattice parameters (Å, degrees): 4.0924 12.4205 4.0483 90.00 90.00 90.00
Fractional positions:
Gd 0.0000 0.0000 0.0000
Gd 0.5000 0.5000 0.0000
Pt 0.0000 0.1734 0.5000
Pt 0.0000 0.3337 0.0000
Pt 0.0000 0.5000 0.5000
Pt 0.0000 0.6663 0.0000
Pt 0.0000 0.8266 0.5000
Pt 0.5000 0.0000 0.5000
Pt 0.5000 0.1663 0.0000
Pt 0.5000 0.3266 0.5000
Pt 0.5000 0.6734 0.5000
Pt 0.5000 0.8337 0.0000

Output
Fermi-level density of states	13.03	states/eV per cell


Record 7
Compound: GdPt
Source: Alexandria
Functional: PBE-GGA
Structure: relaxed

Lattice parameters (Å, degrees): 7.1433 4.5322 5.6455 90.00 90.00 90.00
Fractional positions:
Gd 0.1821 0.2500 0.1416
Gd 0.3179 0.7500 0.6416
Gd 0.6821 0.2500 0.3584
Gd 0.8179 0.7500 0.8584
Pt 0.0441 0.2500 0.6558
Pt 0.4559 0.7500 0.1558
Pt 0.5441 0.2500 0.8442
Pt 0.9559 0.7500 0.3442

Output
Fermi-level density of states	3.83	states/eV per cell


Record 8
Compound: GdPt2
Source: Alexandria
Functional: PBE-GGA
Structure: relaxed

Lattice parameters (Å, degrees): 5.4606 5.4606 5.4606 60.00 60.00 60.00
Fractional positions:
Gd 0.1250 0.1250 0.1250
Gd 0.8750 0.8750 0.8750
Pt 0.0000 0.5000 0.5000
Pt 0.5000 0.0000 0.5000
Pt 0.5000 0.5000 0.0000
Pt 0.5000 0.5000 0.5000

Output
Fermi-level density of states	2.40	states/eV per cell


| no. | calculated formation energy (eV/atom) | E (eV per atom) |
| --- | --- | --- |
| 1 | 0.209 | -10.16 |
| 2 | 0.328 | -10.04 |
| 3 | 0.181 | -8.81 |
| 4 | -0.971 | -9.02 |
| 5 | -0.838 | -9.56 |
| 6 | -0.609 | -7.99 |
| 7 | -1.242 | -11.30 |
| 8 | -1.110 | -9.83 |